P) A relaxed YCoRu2 crystal, computed with PBE-GGA.

The structure in POSCAR format:
```
YCoRu2
1.0
4.5192 -1.5081 0.0000
4.5192 1.5081 0.0000
-1.1679 0.0000 4.8789
Y Co Ru
1 1 2
Direct
0.0000 0.0000 0.0000
0.2376 0.2376 0.7182
0.5033 0.5033 0.5011
0.7651 0.7651 0.3518
```

Computed properties:
For the calculated volume, the calculation gives 16.63 A^3/atom. The space-group type is Cm.

---

Q) A relaxed YCoRu2 crystal, computed with PBE-GGA.

The structure in POSCAR format:
```
YCoRu2
1.0
4.3964 0.0000 0.0000
0.0000 4.3964 0.0000
0.0000 0.0000 3.3391
Y Co Ru
1 1 2
Direct
0.0000 0.0000 0.0000
0.5000 0.5000 0.0000
0.0000 0.5000 0.5000
0.5000 0.0000 0.5000
```

Computed properties:
For the calculated volume, the calculation gives 16.13 A^3/atom. The space-group type is P4/mmm.

---

R) A relaxed YCoRu2 crystal, computed with PBE-GGA.

The structure in POSCAR format:
```
YCoRu2
1.0
-1.9721 1.9721 4.0923
1.9721 -1.9721 4.0923
1.9721 1.9721 -4.0923
Y Co Ru
1 1 2
Direct
0.0000 0.0000 0.0000
0.5000 0.5000 0.0000
0.2500 0.7500 0.5000
0.7500 0.2500 0.5000
```

Computed properties:
For the calculated volume, the calculation gives 15.92 A^3/atom. The space-group type is I4/mmm.

---

Unit: meV/atom. Relative energies: P) 0; Q) 58; R) 95.

---

P) A relaxed YCoRu2 crystal, computed with PBE-GGA.

The structure in POSCAR format:
```
YCoRu2
1.0
4.7084 -1.5041 0.0000
4.7084 1.5041 0.0000
-1.4529 0.0000 4.6055
Y Co Ru
1 1 2
Direct
0.0000 0.0000 0.0000
0.5000 0.5000 0.5000
0.2233 0.2233 0.6968
0.7767 0.7767 0.3032
```

Computed properties:
For the calculated volume, the calculation gives 16.31 A^3/atom. The space-group type is C2/m.

---

Q) A relaxed YCoRu2 crystal, computed with PBE-GGA.

The structure in POSCAR format:
```
YCoRu2
1.0
-1.4582 2.2665 4.8234
1.4582 -2.2665 4.8234
1.4582 2.2665 -4.8234
Y Co Ru
1 1 2
Direct
0.0000 0.0000 0.0000
0.5000 0.5000 0.0000
0.2835 0.7835 0.5000
0.7165 0.2165 0.5000
```

Computed properties:
For the calculated volume, the calculation gives 15.94 A^3/atom. The space-group type is Immm.

---

Unit: meV/atom. Relative energies: P) 0; Q) 16.

---

P) A relaxed YCoRu2 crystal, computed with PBE-GGA.

The structure in POSCAR format:
```
YCoRu2
1.0
3.0831 0.0000 0.0000
0.0000 3.0831 0.0000
0.0000 0.0000 6.9281
Y Co Ru
1 1 2
Direct
0.0000 0.0000 0.0000
0.5000 0.5000 0.2979
0.0000 0.0000 0.4774
0.5000 0.5000 0.6969
```

Computed properties:
For the calculated volume, the calculation gives 16.46 A^3/atom. The space-group type is P4mm.

---

Q) A relaxed YCoRu2 crystal, computed with PBE-GGA.

The structure in POSCAR format:
```
YCoRu2
1.0
1.5570 0.8989 8.0465
-1.5570 0.8989 8.0465
0.0000 -1.7979 8.0465
Y Co Ru
1 1 2
Direct
0.0000 0.0000 0.0000
0.5000 0.5000 0.5000
0.2387 0.2387 0.2387
0.7613 0.7613 0.7613
```

Computed properties:
For the calculated volume, the calculation gives 16.89 A^3/atom. The space-group type is R-3m.

---

R) A relaxed YCoRu2 crystal, computed with PBE-GGA.

The structure in POSCAR format:
```
YCoRu2
1.0
2.7351 -4.5128 0.0000
2.7351 4.5128 0.0000
-1.2414 0.0000 2.6066
Y Co Ru
1 1 2
Direct
0.0000 0.0000 0.0000
0.5000 0.5000 0.0000
0.0000 0.5000 0.5000
0.5000 0.0000 0.5000
```

Computed properties:
For the calculated volume, the calculation gives 16.09 A^3/atom. The space-group type is C2/m.

---

Unit: meV/atom. Relative energies: P) 0; Q) 358; R) 131.

---

P) A relaxed YCo2Ru crystal, computed with PBE-GGA.

The structure in POSCAR format:
```
YCo2Ru
1.0
0.0000 3.1461 3.1461
3.1461 0.0000 3.1461
3.1461 3.1461 0.0000
Y Co Ru
1 2 1
Direct
0.0000 0.0000 0.0000
0.2500 0.2500 0.2500
0.5000 0.5000 0.5000
0.7500 0.7500 0.7500
```

Computed properties:
For the calculated volume, the calculation gives 15.57 A^3/atom. The space-group type is F-43m.

---

Q) A relaxed YCo2Ru crystal, computed with PBE-GGA.

The structure in POSCAR format:
```
YCo2Ru
1.0
2.0678 1.1938 4.8040
-2.0678 1.1938 4.8040
0.0000 -2.3877 4.8040
Y Co Ru
1 2 1
Direct
0.0000 0.0000 0.0000
0.5018 0.5018 0.5018
0.8099 0.8099 0.8099
0.1921 0.1921 0.1921
```

Computed properties:
For the calculated volume, the calculation gives 17.79 A^3/atom. The space-group type is R3m.

---

Unit: meV/atom. Relative energies: P) 231; Q) 0.

---

P) A relaxed YCo2Ru crystal, computed with PBE-GGA.

The structure in POSCAR format:
```
YCo2Ru
1.0
3.1619 0.0000 0.0000
0.0000 3.1619 0.0000
0.0000 0.0000 6.3255
Y Co Ru
1 2 1
Direct
0.0000 0.0000 0.0000
0.5000 0.5000 0.3056
0.5000 0.5000 0.6944
0.0000 0.0000 0.5000
```

Computed properties:
For the calculated volume, the calculation gives 15.81 A^3/atom. The space-group type is P4/mmm.

---

Q) A relaxed YCo2Ru crystal, computed with PBE-GGA.

The structure in POSCAR format:
```
YCo2Ru
1.0
4.4520 -1.5992 0.0000
4.4520 1.5992 0.0000
-1.5912 0.0000 4.5379
Y Co Ru
1 2 1
Direct
0.0000 0.0000 0.0000
0.4901 0.4901 0.4836
0.7762 0.7762 0.3305
0.2216 0.2216 0.6836
```

Computed properties:
For the calculated volume, the calculation gives 16.15 A^3/atom. The space-group type is Cm.

---

Unit: meV/atom. Relative energies: P) 0; Q) 11.

---

P) A relaxed YCo2Ru crystal, computed with PBE-GGA.

The structure in POSCAR format:
```
YCo2Ru
1.0
4.3352 0.0000 0.0000
0.0000 4.3352 0.0000
0.0000 0.0000 3.2826
Y Co Ru
1 2 1
Direct
0.0000 0.0000 0.0000
0.0000 0.5000 0.5000
0.5000 0.0000 0.5000
0.5000 0.5000 0.0000
```

Computed properties:
For the calculated volume, the calculation gives 15.42 A^3/atom. The space-group type is P4/mmm.

---

Q) A relaxed YCo2Ru crystal, computed with PBE-GGA.

The structure in POSCAR format:
```
YCo2Ru
1.0
3.3435 0.0000 0.0000
0.0000 4.2816 0.0000
0.0000 0.0000 4.3573
Y Co Ru
1 2 1
Direct
0.0000 0.0000 0.0000
0.0000 0.5000 0.5000
0.5000 0.5000 0.0000
0.5000 0.0000 0.5000
```

Computed properties:
For the calculated volume, the calculation gives 15.59 A^3/atom. The space-group type is Pmmm.

---

R) A relaxed YCo2Ru crystal, computed with PBE-GGA.

The structure in POSCAR format:
```
YCo2Ru
1.0
2.0708 1.1956 4.7104
-2.0708 1.1956 4.7104
0.0000 -2.3912 4.7104
Y Co Ru
1 2 1
Direct
0.0000 0.0000 0.0000
0.1927 0.1927 0.1927
0.8073 0.8073 0.8073
0.5000 0.5000 0.5000
```

Computed properties:
For the calculated volume, the calculation gives 17.49 A^3/atom. The space-group type is R-3m.

---

S) A relaxed YCo2Ru crystal, computed with PBE-GGA.

The structure in POSCAR format:
```
YCo2Ru
1.0
0.0000 3.1481 3.1481
3.1481 0.0000 3.1481
3.1481 3.1481 0.0000
Y Co Ru
1 2 1
Direct
0.0000 0.0000 0.0000
0.2500 0.2500 0.2500
0.7500 0.7500 0.7500
0.5000 0.5000 0.5000
```

Computed properties:
For the calculated volume, the calculation gives 15.60 A^3/atom. The space-group type is Fm-3m.

---

Unit: meV/atom. Relative energies: P) 207; Q) 266; R) 0; S) 188.